Below is an optimized crystal structure of LiNd2InO5, with properties calculated at the PBE-GGA level.

Size of the total moment ... 0.0 μB/cell
VASP energy ... -61.89 eV per formula unit
Formation energy from raw total energies ... -22.9 eV per formula unit

a b c (Å): 3.3945 13.6317 9.9457
angles (deg): 90.00 90.00 90.00
With the nearest neighbours (Å) after each atom.
Space group Cmc2_1 (No. 36)
Symmetry-distinct sites (fractional):
Li (0.0000, 0.0186, 0.0000) x4  3 O 1.90-1.97
Nd (0.0000, 0.3754, 0.8201) x4  8 O 2.41-2.65
Nd (0.0000, 0.3906, 0.2075) x4  8 O 2.45-2.66
In (0.0000, 0.3022, 0.5228) x4  6 O 2.14-2.30
O (0.0000, 0.9996, 0.3032) x4  1 Li 1.97
O (0.0000, 0.1403, 0.5213) x4  1 Li 2.18, 1 In 2.21
O (0.0000, 0.1967, 0.8749) x4  2 In 2.25, 1 Nd 2.50
O (0.0000, 0.2116, 0.1781) x4  2 In 2.30, 3 Nd 2.46-2.51
O (0.0000, 0.4541, 0.5766) x4  2 Li 1.90